No. 1
A plane-wave DFT calculation with PBE-GGA was carried out for a relaxed structure of Cs2TmGaSe4.

Cell and atoms, written as POSCAR:
```
Cs2TmGaSe4
1.0
0.000 7.563 13.331
3.175 0.000 13.331
3.175 7.563 0.000
Cs Tm Ga Se
4 2 2 8
direct
0.054 0.054 0.696
0.304 0.304 0.946
0.696 0.696 0.054
0.946 0.946 0.304
0.125 0.125 0.125
0.875 0.875 0.875
0.375 0.375 0.375
0.625 0.625 0.625
0.002 0.644 0.555
0.299 0.555 0.644
0.356 0.998 0.701
0.445 0.701 0.998
0.555 0.299 0.002
0.644 0.002 0.299
0.701 0.445 0.356
0.998 0.356 0.445
```

* spin magnetization: 0.000 μB/cell
* SG: Fddd, No. 70

---

No. 2
A plane-wave DFT calculation with PBE-GGA was carried out for a relaxed structure of Cs3U3GaSe8.

Cell and atoms, written as POSCAR:
```
Cs3U3GaSe8
1.0
4.292 2.478 8.338
-4.292 2.478 8.338
0.000 -4.955 8.338
Cs U Ga Se
3 3 1 8
direct
0.000 0.500 0.500
0.500 0.000 0.500
0.500 0.500 0.000
0.000 0.000 0.500
0.000 0.500 0.000
0.500 0.000 0.000
0.500 0.500 0.500
0.207 0.736 0.736
0.229 0.229 0.229
0.264 0.264 0.793
0.264 0.793 0.264
0.736 0.207 0.736
0.736 0.736 0.207
0.771 0.771 0.771
0.793 0.264 0.264
```

* spin magnetization: 5.981 μB/cell
* SG: R-3m, No. 166

---

No. 3
A plane-wave DFT calculation with PBE-GGA was carried out for a relaxed structure of Cs2ZrGaSe4.

Cell and atoms, written as POSCAR:
```
Cs2ZrGaSe4
1.0
0.000 7.357 13.031
3.377 0.000 13.031
3.377 7.357 0.000
Cs Zr Ga Se
4 2 2 8
direct
0.054 0.054 0.696
0.304 0.304 0.946
0.696 0.696 0.054
0.946 0.946 0.304
0.125 0.125 0.125
0.875 0.875 0.875
0.375 0.375 0.375
0.625 0.625 0.625
0.020 0.333 0.417
0.270 0.583 0.667
0.333 0.020 0.730
0.417 0.730 0.020
0.583 0.270 0.980
0.667 0.980 0.270
0.730 0.417 0.333
0.980 0.667 0.583
```

* spin magnetization: 0.000 μB/cell
* SG: Fddd, No. 70

---

No. 4
A plane-wave DFT calculation with PBE-GGA was carried out for a relaxed structure of Cs2ZrGaSe5.

Cell and atoms, written as POSCAR:
```
Cs2ZrGaSe5
1.0
1.944 -10.832 0.000
1.944 10.832 0.000
0.000 0.000 15.438
Cs Zr Ga Se
4 2 2 10
direct
0.130 0.870 0.500
0.135 0.865 0.878
0.865 0.135 0.378
0.870 0.130 0.000
0.208 0.792 0.206
0.792 0.208 0.706
0.423 0.577 0.617
0.577 0.423 0.117
0.070 0.930 0.214
0.301 0.699 0.823
0.311 0.689 0.578
0.325 0.675 0.188
0.486 0.514 0.491
0.514 0.486 0.991
0.675 0.325 0.688
0.689 0.311 0.078
0.699 0.301 0.323
0.930 0.070 0.714
```

* spin magnetization: 0.353 μB/cell
* SG: Cmc2_1, No. 36

---

No. 5
A plane-wave DFT calculation with PBE-GGA was carried out for a relaxed structure of CsGaSi.

Cell and atoms, written as POSCAR:
```
CsGaSi
1.0
4.187 0.000 0.000
0.089 6.835 0.000
2.054 1.889 7.332
Cs Ga Si
2 2 2
direct
0.096 0.308 0.326
0.904 0.692 0.674
0.208 0.872 0.057
0.792 0.128 0.943
0.382 0.187 0.766
0.618 0.813 0.234
```

* spin magnetization: 0.000 μB/cell
* SG: P-1, No. 2

---

No. 6
A plane-wave DFT calculation with PBE-GGA was carried out for a relaxed structure of CsGaSi.

Cell and atoms, written as POSCAR:
```
CsGaSi
1.0
4.323 0.000 0.000
-1.587 7.191 0.000
-1.258 -3.013 6.724
Cs Ga Si
2 2 2
direct
0.230 0.331 0.190
0.770 0.669 0.810
0.480 0.073 0.707
0.520 0.927 0.293
0.021 0.823 0.418
0.979 0.177 0.582
```

* spin magnetization: 0.000 μB/cell
* SG: P-1, No. 2

---

No. 7
A plane-wave DFT calculation with PBE-GGA was carried out for a relaxed structure of CsGaSi.

Cell and atoms, written as POSCAR:
```
CsGaSi
1.0
16.206 0.000 0.000
0.000 5.501 0.000
0.000 0.000 5.831
Cs Ga Si
4 4 4
direct
0.145 0.250 0.001
0.355 0.750 0.501
0.645 0.250 0.499
0.855 0.750 0.999
0.000 0.000 0.500
0.000 0.500 0.500
0.500 0.000 0.000
0.500 0.500 0.000
0.117 0.750 0.501
0.383 0.250 0.001
0.617 0.750 0.999
0.883 0.250 0.499
```

* spin magnetization: 0.000 μB/cell
* SG: Pnma, No. 62

---

No. 8
A plane-wave DFT calculation with PBE-GGA was carried out for a relaxed structure of CsGaSi.

Cell and atoms, written as POSCAR:
```
CsGaSi
1.0
8.693 0.000 0.000
0.000 4.229 0.000
0.000 0.000 11.630
Cs Ga Si
4 4 4
direct
0.015 0.250 0.183
0.485 0.750 0.683
0.515 0.250 0.317
0.985 0.750 0.817
0.100 0.250 0.520
0.400 0.750 0.020
0.600 0.250 0.980
0.900 0.750 0.480
0.195 0.750 0.432
0.305 0.250 0.932
0.695 0.750 0.068
0.805 0.250 0.568
```

* spin magnetization: 0.000 μB/cell
* SG: Pnma, No. 62

---

No. 9
A plane-wave DFT calculation with PBE-GGA was carried out for a relaxed structure of CsGaSi.

Cell and atoms, written as POSCAR:
```
CsGaSi
1.0
4.365 0.000 0.000
-1.475 7.595 0.000
-0.843 -0.501 8.817
Cs Ga Si
2 2 2
direct
0.000 0.000 0.000
0.499 0.497 0.500
0.402 0.946 0.649
0.597 0.048 0.351
0.056 0.881 0.409
0.943 0.113 0.590
```

* spin magnetization: 0.000 μB/cell
* SG: P1, No. 1

---

No. 10
A plane-wave DFT calculation with PBE-GGA was carried out for a relaxed structure of CsGaSi.

Cell and atoms, written as POSCAR:
```
CsGaSi
1.0
4.302 0.000 0.000
-1.464 7.331 0.000
-1.477 -3.020 6.679
Cs Ga Si
2 2 2
direct
0.000 0.000 0.000
0.498 0.364 0.636
0.264 0.593 0.124
0.734 0.876 0.406
0.213 0.752 0.511
0.786 0.490 0.249
```

* spin magnetization: 0.000 μB/cell
* SG: P1, No. 1

---

No. 11
A plane-wave DFT calculation with PBE-GGA was carried out for a relaxed structure of CsGaSi.

Cell and atoms, written as POSCAR:
```
CsGaSi
1.0
4.232 0.000 0.000
-2.116 3.665 0.000
0.000 0.000 6.187
Cs Ga Si
1 1 1
direct
0.000 0.000 0.000
0.667 0.333 0.500
0.333 0.667 0.500
```

* spin magnetization: 0.000 μB/cell
* SG: P-6m2, No. 187

---

No. 12
A plane-wave DFT calculation with PBE-GGA was carried out for a relaxed structure of CsGaSi.

Cell and atoms, written as POSCAR:
```
CsGaSi
1.0
3.854 0.000 0.000
0.001 7.652 0.000
1.927 3.823 6.834
Cs Ga Si
2 2 2
direct
0.158 0.157 0.185
0.842 0.843 0.815
0.106 0.607 0.288
0.894 0.393 0.712
0.499 0.659 0.501
0.501 0.341 0.499
```

* spin magnetization: 0.000 μB/cell
* SG: P-1, No. 2

---

One value per record, in order, for formation energy without anion corrections: -1268 -1131 -1093 -1029 30 -26 99 38 48 -34 -75 7 meV per atom.